(1)
An optimized crystal structure of CdAgPt2, computed with PBE-GGA.

Properties
The value obtained for the formation enthalpy at 0 K is -46.3 kJ/mol of formula units. The calculation puts the density of states at the Fermi level at 2.18 states/eV/f.u. The value obtained for the total energy is -4.082 eV/atom. The space-group type is R-3m, No. 166.

POSCAR file:
```
CdAgPt2
1.0
1.4448 0.8342 9.3845
-1.4448 0.8342 9.3845
0.0000 -1.6683 9.3845
Cd Ag Pt
1 1 2
Direct
0.0000 0.0000 0.0000
0.5000 0.5000 0.5000
0.2507 0.2507 0.2507
0.7493 0.7493 0.7493
```

(2)
An optimized crystal structure of Cd4AgPt5, computed with PBE-GGA.

Properties
The value obtained for the formation enthalpy at 0 K is -231.6 kJ/mol of formula units. The calculation puts the density of states at the Fermi level at 5.35 states/eV/f.u. The value obtained for the total energy is -3.912 eV/atom. The space-group type is P4/mmm, No. 123.

POSCAR file:
```
Cd4AgPt5
1.0
2.9678 0.0000 0.0000
0.0000 2.9678 0.0000
0.0000 0.0000 19.7008
Cd Ag Pt
4 1 5
Direct
0.0000 0.0000 0.1006
0.0000 0.0000 0.3017
0.0000 0.0000 0.6983
0.0000 0.0000 0.8994
0.0000 0.0000 0.5000
0.5000 0.5000 0.0000
0.5000 0.5000 0.2007
0.5000 0.5000 0.4004
0.5000 0.5000 0.5996
0.5000 0.5000 0.7993
```

(3)
An optimized crystal structure of CdAg2Pt, computed with PBE-GGA.

Properties
The value obtained for the formation enthalpy at 0 K is -46.7 kJ/mol of formula units. The calculation puts the density of states at the Fermi level at 0.85 states/eV/f.u. The value obtained for the total energy is -3.285 eV/atom. The space-group type is C2, No. 5.

POSCAR file:
```
CdAg2Pt
1.0
2.9443 -2.9691 0.0000
2.9443 2.9691 0.0000
-2.9346 0.0000 4.0416
Cd Ag Pt
1 2 1
Direct
0.0000 0.0000 0.0000
0.2495 0.7505 0.5000
0.4992 0.5008 0.0000
0.7493 0.2507 0.5000
```

(4)
An optimized crystal structure of CdAg2Pt, computed with PBE-GGA.

Properties
The value obtained for the formation enthalpy at 0 K is -21.2 kJ/mol of formula units. The calculation puts the density of states at the Fermi level at 1.23 states/eV/f.u. The value obtained for the total energy is -3.219 eV/atom. The space-group type is Cmmm, No. 65.

POSCAR file:
```
CdAg2Pt
1.0
2.8944 -4.1595 0.0000
2.8944 4.1595 0.0000
0.0000 0.0000 2.9381
Cd Ag Pt
1 2 1
Direct
0.0000 0.0000 0.0000
0.0000 0.5000 0.5000
0.5000 0.0000 0.5000
0.5000 0.5000 0.0000
```

(5)
An optimized crystal structure of Cd2Ag6Pt, computed with PBE-GGA.

Properties
The value obtained for the formation enthalpy at 0 K is 17.2 kJ/mol of formula units. The calculation puts the density of states at the Fermi level at 2.40 states/eV/f.u. The value obtained for the total energy is -2.756 eV/atom. The space-group type is C2/m, No. 12.

POSCAR file:
```
Cd2Ag6Pt
1.0
3.9229 -2.4435 0.0000
3.9229 2.4435 0.0000
-0.9537 0.0000 8.5733
Cd Ag Pt
2 6 1
Direct
0.1653 0.1653 0.4363
0.8347 0.8347 0.5637
0.1655 0.1655 0.1046
0.1711 0.1711 0.7813
0.4978 0.4978 0.3272
0.5022 0.5022 0.6728
0.8289 0.8289 0.2187
0.8346 0.8346 0.8954
0.5000 0.5000 0.0000
```

(6)
An optimized crystal structure of Cd3AgPt4, computed with PBE-GGA.

Properties
The value obtained for the formation enthalpy at 0 K is -189.8 kJ/mol of formula units. The calculation puts the density of states at the Fermi level at 2.67 states/eV/f.u. The value obtained for the total energy is -3.966 eV/atom. The space-group type is I4/mmm, No. 139.

POSCAR file:
```
Cd3AgPt4
1.0
-2.0943 2.0943 7.8825
2.0943 -2.0943 7.8825
2.0943 2.0943 -7.8825
Cd Ag Pt
3 1 4
Direct
0.0000 0.0000 0.0000
0.2505 0.2505 0.0000
0.7495 0.7495 0.0000
0.5000 0.5000 0.0000
0.1253 0.6253 0.5000
0.3747 0.8747 0.5000
0.6253 0.1253 0.5000
0.8747 0.3747 0.5000
```

(7)
An optimized crystal structure of CdAg2Pt, computed with PBE-GGA.

Properties
The value obtained for the formation enthalpy at 0 K is -18.2 kJ/mol of formula units. The calculation puts the density of states at the Fermi level at 0.61 states/eV/f.u. The value obtained for the total energy is -3.212 eV/atom. The space-group type is R-3m, No. 166.

POSCAR file:
```
CdAg2Pt
1.0
1.4501 0.8372 9.7134
-1.4501 0.8372 9.7134
0.0000 -1.6744 9.7134
Cd Ag Pt
1 2 1
Direct
0.0000 0.0000 0.0000
0.2472 0.2472 0.2472
0.7528 0.7528 0.7528
0.5000 0.5000 0.5000
```

(8)
An optimized crystal structure of Cd5Ag4Pt, computed with PBE-GGA.

Properties
The value obtained for the formation enthalpy at 0 K is -100.7 kJ/mol of formula units. The calculation puts the density of states at the Fermi level at 2.89 states/eV/f.u. The value obtained for the total energy is -2.306 eV/atom. As for the energy above the lowest structure with this stoichiometry: 0 meV/atom. The space-group type is P4/mmm, No. 123.

POSCAR file:
```
Cd5Ag4Pt
1.0
3.0676 0.0000 0.0000
0.0000 3.0676 0.0000
0.0000 0.0000 20.1780
Cd Ag Pt
5 4 1
Direct
0.0000 0.0000 0.0000
0.0000 0.0000 0.2029
0.0000 0.0000 0.4069
0.0000 0.0000 0.5931
0.0000 0.0000 0.7971
0.5000 0.5000 0.1014
0.5000 0.5000 0.3041
0.5000 0.5000 0.6959
0.5000 0.5000 0.8986
0.5000 0.5000 0.5000
```

Which of these has the lowest total energy? CdAgPt2

Among the records above, which one has the highest total energy? Cd5Ag4Pt